Entry 1:
# Zn2MoPb (PBE-GGA, optimized geometry)
data_Zn2MoPb
_cell_length_a 6.6387
_cell_length_b 6.6387
_cell_length_c 6.6387
_cell_angle_alpha 90.00
_cell_angle_beta 90.00
_cell_angle_gamma 90.00
_symmetry_space_group_name_H-M 'F -4 3 m'
_symmetry_Int_Tables_number 216
_symmetry_space_group_name_Hall 'F -4 2 3'
loop_
_atom_site_label
_atom_site_type_symbol
_atom_site_fract_x
_atom_site_fract_y
_atom_site_fract_z
Zn1 Zn 0.0000 0.0000 0.0000
Zn2 Zn 0.2500 0.2500 0.2500
Mo1 Mo 0.2500 0.2500 0.7500
Pb1 Pb 0.0000 0.0000 0.5000
# N(E_F)   0.720 states/eV per atom
# VASP energy   -3.551 eV/atom


Entry 2:
# Tb2PrThSc4 (PBE-GGA, optimized geometry)
data_Tb2PrThSc4
_cell_length_a 5.0203
_cell_length_b 5.0353
_cell_length_c 9.0237
_cell_angle_alpha 90.00
_cell_angle_beta 90.00
_cell_angle_gamma 90.00
_symmetry_space_group_name_H-M 'P m m m'
_symmetry_Int_Tables_number 47
loop_
_symmetry_equiv_pos_as_xyz
'x,y,z'
'-x,-y,-z'
'-x,-y,z'
'x,y,-z'
'x,-y,-z'
'-x,y,z'
'-x,y,-z'
'x,-y,z'
loop_
_atom_site_label
_atom_site_type_symbol
_atom_site_fract_x
_atom_site_fract_y
_atom_site_fract_z
Tb1 Tb 0.0000 0.0000 0.0000
Tb2 Tb 0.5000 0.5000 0.5000
Pr1 Pr 0.0000 0.0000 0.5000
Th1 Th 0.5000 0.5000 0.0000
Sc1 Sc 0.0000 0.5000 0.2454
Sc2 Sc 0.5000 0.0000 0.2451
# N(E_F)   1.316 states/eV per atom
# VASP energy   -5.806 eV/atom


Entry 3:
# Cd6PtAu8 (PBE-GGA, optimized geometry)
data_Cd6PtAu8
_cell_length_a 7.1680
_cell_length_b 7.1680
_cell_length_c 21.6060
_cell_angle_alpha 90.00
_cell_angle_beta 90.00
_cell_angle_gamma 120.00
_symmetry_space_group_name_H-M 'R -3'
_symmetry_Int_Tables_number 148
_symmetry_space_group_name_Hall '-R 3'
loop_
_atom_site_label
_atom_site_type_symbol
_atom_site_fract_x
_atom_site_fract_y
_atom_site_fract_z
Cd1 Cd 0.0344 0.5946 0.2714
Pt1 Pt 0.0000 0.0000 0.0000
Au1 Au 0.0000 0.0000 0.2997
Au2 Au 0.0394 0.2565 0.1927
# N(E_F)   0.259 states/eV per atom
# ΔE to the lowest computed polymorph   21.4 meV per atom
# VASP energy   -2.597 eV/atom


Entry 4:
# CePm2Ho6 (PBE-GGA, optimized geometry)
data_CePm2Ho6
_cell_length_a 12.8705
_cell_length_b 13.9251
_cell_length_c 6.5692
_cell_angle_alpha 90.00
_cell_angle_beta 101.43
_cell_angle_gamma 90.00
_symmetry_space_group_name_H-M 'C 1 2/c 1'
_symmetry_Int_Tables_number 15
loop_
_symmetry_equiv_pos_as_xyz
'x,y,z'
'-x,-y,-z'
'-x,y,-z+1/2'
'x,-y,z+1/2'
'x+1/2,y+1/2,z'
'-x+1/2,-y+1/2,-z'
'-x+1/2,y+1/2,-z+1/2'
'x+1/2,-y+1/2,z+1/2'
loop_
_atom_site_label
_atom_site_type_symbol
_atom_site_fract_x
_atom_site_fract_y
_atom_site_fract_z
Ce1 Ce 0.0000 0.1190 0.2500
Pm1 Pm 0.1402 0.4720 0.3711
Ho1 Ho 0.0292 0.3079 0.9986
Ho2 Ho 0.1330 0.0840 0.8150
Ho3 Ho 0.2444 0.2983 0.7377
# N(E_F)   1.788 states/eV per atom
# ΔE to the lowest computed polymorph   52.7 meV per atom
# VASP energy   -4.633 eV/atom


Entry 5:
# Na2SrNb (PBE-GGA, optimized geometry)
data_Na2SrNb
_cell_length_a 8.0331
_cell_length_b 8.0331
_cell_length_c 8.0331
_cell_angle_alpha 90.00
_cell_angle_beta 90.00
_cell_angle_gamma 90.00
_symmetry_space_group_name_H-M 'F m -3 m'
_symmetry_Int_Tables_number 225
_symmetry_space_group_name_Hall '-F 4 2 3'
loop_
_atom_site_label
_atom_site_type_symbol
_atom_site_fract_x
_atom_site_fract_y
_atom_site_fract_z
Na1 Na 0.2500 0.2500 0.2500
Sr1 Sr 0.0000 0.0000 0.0000
Nb1 Nb 0.0000 0.0000 0.5000
# N(E_F)   0.750 states/eV per atom
# ΔE to the lowest computed polymorph   0.0 meV per atom
# VASP energy   -2.705 eV/atom


Entry 6:
# ReHg2Te (PBE-GGA, optimized geometry)
data_ReHg2Te
_cell_length_a 3.3439
_cell_length_b 3.3439
_cell_length_c 30.0990
_cell_angle_alpha 90.00
_cell_angle_beta 90.00
_cell_angle_gamma 120.00
_symmetry_space_group_name_H-M 'R 3 m'
_symmetry_Int_Tables_number 160
_symmetry_space_group_name_Hall 'R 3 -2"'
loop_
_atom_site_label
_atom_site_type_symbol
_atom_site_fract_x
_atom_site_fract_y
_atom_site_fract_z
Re1 Re 0.0000 0.0000 0.0000
Hg1 Hg 0.0000 0.0000 0.2601
Hg2 Hg 0.0000 0.0000 0.5020
Te1 Te 0.0000 0.0000 0.7250
# Formation energy (no corrections)   0.42 eV per atom
# N(E_F)   0.595 states/eV per atom
# ΔE to the lowest computed polymorph   10.9 meV per atom
# VASP energy   -3.632 eV/atom